No. 1
The following is a DFT calculation (PBE) of a relaxed structure of SnBi5Pt4.

a b c (Å): 4.333 7.182 9.499
angles (deg): 115.72 103.18 90.00
Atoms (fractional coordinates):
Sn1 0.500 0.000 0.000
Bi1 0.849 0.742 0.697
Bi2 0.816 0.216 0.631
Bi3 0.184 0.784 0.369
Bi4 0.500 0.500 0.000
Bi5 0.151 0.258 0.303
Pt1 0.357 0.025 0.715
Pt2 0.015 0.794 0.031
Pt3 0.643 0.975 0.285
Pt4 0.985 0.206 0.969

Computed properties:
ΔH_f (0 K) ... -0.20 eV per atom
M_tot ... 0.00 μB/f.u.

***

No. 2
The following is a DFT calculation (PBE) of a relaxed structure of Sn2BiPt2.

a b c (Å): 4.324 4.324 6.815
angles (deg): 71.51 71.51 90.00
Atoms (fractional coordinates):
Bi1 0.000 0.000 0.000
Pt1 0.388 0.388 0.225
Pt2 0.612 0.612 0.775
Sn1 0.750 0.250 0.500
Sn2 0.250 0.750 0.500

Computed properties:
ΔH_f (0 K) ... -0.20 eV per atom
M_tot ... 0.00 μB/f.u.

***

No. 3
The following is a DFT calculation (PBE) of a relaxed structure of ZnSn2Bi2Pt7.

a b c (Å): 3.979 3.979 16.389
angles (deg): 83.04 83.04 89.96
Atoms (fractional coordinates):
Zn1 0.000 0.000 0.000
Sn1 0.617 0.617 0.765
Sn2 0.383 0.383 0.235
Bi1 0.787 0.787 0.426
Bi2 0.213 0.213 0.574
Pt1 0.500 0.500 0.000
Pt2 0.301 0.301 0.398
Pt3 0.699 0.699 0.602
Pt4 0.939 0.439 0.122
Pt5 0.439 0.939 0.122
Pt6 0.561 0.061 0.878
Pt7 0.061 0.561 0.878

Computed properties:
ΔH_f (0 K) ... -0.31 eV per atom
M_tot ... 0.00 μB/f.u.

***

No. 4
The following is a DFT calculation (PBE) of a relaxed structure of SrBi3Pt.

a b c (Å): 5.976 5.976 5.976
angles (deg): 90.00 90.00 90.00
Atoms (fractional coordinates):
Sr1 0.000 0.000 0.000
Bi1 0.000 0.500 0.000
Bi2 0.000 0.000 0.500
Bi3 0.500 0.000 0.000
Pt1 0.500 0.500 0.500

Computed properties:
ΔH_f (0 K) ... 1.30 eV per atom
M_tot ... 0.00 μB/f.u.

***

No. 5
The following is a DFT calculation (PBE) of a relaxed structure of SrBi4Pt2.

a b c (Å): 4.533 9.277 9.277
angles (deg): 90.00 90.00 90.00
Atoms (fractional coordinates):
Sr1 0.500 0.000 0.000
Sr2 0.000 0.500 0.500
Bi1 0.000 0.066 0.308
Bi2 0.000 0.934 0.692
Bi3 0.500 0.192 0.566
Bi4 0.500 0.808 0.434
Bi5 0.500 0.434 0.808
Bi6 0.500 0.566 0.192
Bi7 0.000 0.308 0.066
Bi8 0.000 0.692 0.934
Pt1 0.000 0.237 0.763
Pt2 0.000 0.763 0.237
Pt3 0.500 0.737 0.737
Pt4 0.500 0.263 0.263

Computed properties:
ΔH_f (0 K) ... -0.40 eV per atom
M_tot ... 0.00 μB/f.u.

***

No. 6
The following is a DFT calculation (PBE) of a relaxed structure of Sr3Bi3Pt2.

a b c (Å): 4.844 6.383 16.409
angles (deg): 90.00 90.00 112.30
Atoms (fractional coordinates):
Sr1 0.916 0.831 0.390
Sr2 0.084 0.169 0.890
Sr3 0.916 0.831 0.110
Sr4 0.084 0.169 0.610
Sr5 0.634 0.269 0.250
Sr6 0.366 0.731 0.750
Bi1 0.634 0.269 0.468
Bi2 0.366 0.731 0.968
Bi3 0.634 0.269 0.032
Bi4 0.366 0.731 0.532
Bi5 0.334 0.669 0.250
Bi6 0.666 0.331 0.750
Pt1 0.804 0.608 0.894
Pt2 0.196 0.392 0.394
Pt3 0.804 0.608 0.606
Pt4 0.196 0.392 0.106

Computed properties:
ΔH_f (0 K) ... -0.78 eV per atom
M_tot ... 0.00 μB/f.u.

***

No. 7
The following is a DFT calculation (PBE) of a relaxed structure of Sr2BiPt.

a b c (Å): 4.615 6.509 9.237
angles (deg): 112.80 90.00 90.00
Atoms (fractional coordinates):
Sr1 0.750 0.210 0.446
Sr2 0.250 0.790 0.554
Sr3 0.250 0.767 0.094
Sr4 0.750 0.233 0.906
Bi1 0.250 0.335 0.206
Bi2 0.750 0.665 0.794
Pt1 0.750 0.633 0.287
Pt2 0.250 0.367 0.713

Computed properties:
ΔH_f (0 K) ... -0.76 eV per atom
M_tot ... 0.00 μB/f.u.

***

No. 8
The following is a DFT calculation (PBE) of a relaxed structure of Sr3Bi4Pt2.

a b c (Å): 4.620 6.722 10.005
angles (deg): 79.47 76.65 69.90
Atoms (fractional coordinates):
Sr1 0.313 0.764 0.610
Sr2 0.000 0.000 0.000
Sr3 0.687 0.236 0.390
Bi1 0.267 0.346 0.120
Bi2 0.733 0.654 0.880
Bi3 0.009 0.311 0.670
Bi4 0.991 0.689 0.330
Pt1 0.393 0.943 0.272
Pt2 0.607 0.057 0.728

Computed properties:
ΔH_f (0 K) ... -0.61 eV per atom
M_tot ... 0.00 μB/f.u.

***

No. 9
The following is a DFT calculation (PBE) of a relaxed structure of Sr2Bi3Pt2.

a b c (Å): 4.530 6.127 8.128
angles (deg): 108.41 90.00 111.70
Atoms (fractional coordinates):
Sr1 0.849 0.699 0.194
Sr2 0.151 0.301 0.806
Bi1 0.500 0.000 0.000
Bi2 0.627 0.254 0.446
Bi3 0.373 0.746 0.554
Pt1 0.847 0.694 0.757
Pt2 0.153 0.306 0.243

Computed properties:
ΔH_f (0 K) ... -0.60 eV per atom
M_tot ... 0.00 μB/f.u.

***

No. 10
The following is a DFT calculation (PBE) of a relaxed structure of SrBi3Pt2.

a b c (Å): 5.073 8.941 9.241
angles (deg): 124.37 90.00 106.48
Atoms (fractional coordinates):
Sr1 0.871 0.742 0.912
Sr2 0.129 0.258 0.088
Bi1 0.286 0.572 0.620
Bi2 0.967 0.934 0.635
Bi3 0.656 0.312 0.859
Bi4 0.344 0.688 0.141
Bi5 0.033 0.066 0.365
Bi6 0.714 0.428 0.380
Pt1 0.486 0.971 0.831
Pt2 0.514 0.029 0.169
Pt3 0.826 0.651 0.247
Pt4 0.174 0.349 0.753

Computed properties:
ΔH_f (0 K) ... -0.42 eV per atom
M_tot ... 0.00 μB/f.u.

***

No. 11
The following is a DFT calculation (PBE) of a relaxed structure of SrBi3Pt.

a b c (Å): 6.637 6.641 7.034
angles (deg): 90.01 89.99 90.00
Atoms (fractional coordinates):
Sr1 0.439 0.366 0.701
Sr2 0.939 0.986 0.201
Bi1 0.359 0.294 0.201
Bi2 0.462 0.868 0.956
Bi3 0.962 0.485 0.456
Bi4 0.859 0.059 0.701
Bi5 0.962 0.485 0.946
Bi6 0.462 0.868 0.446
Pt1 0.156 0.767 0.701
Pt2 0.656 0.586 0.201

Computed properties:
ΔH_f (0 K) ... -0.44 eV per atom
M_tot ... 0.00 μB/f.u.

***

No. 12
The following is a DFT calculation (PBE) of a relaxed structure of Sr2Bi2Pt.

a b c (Å): 7.827 7.827 5.062
angles (deg): 90.00 90.00 90.00
Atoms (fractional coordinates):
Sr1 0.166 0.666 0.500
Sr2 0.666 0.834 0.500
Sr3 0.834 0.334 0.500
Sr4 0.334 0.166 0.500
Bi1 0.350 0.850 0.000
Bi2 0.850 0.650 0.000
Bi3 0.650 0.150 0.000
Bi4 0.150 0.350 0.000
Pt1 0.000 0.000 0.000
Pt2 0.500 0.500 0.000

Computed properties:
ΔH_f (0 K) ... -0.61 eV per atom
M_tot ... 0.00 μB/f.u.

***

No. 13
The following is a DFT calculation (PBE) of a relaxed structure of Sr2BiPt.

a b c (Å): 8.676 8.676 7.036
angles (deg): 51.94 51.94 90.00
Atoms (fractional coordinates):
Sr1 0.578 0.125 0.250
Sr2 0.172 0.625 0.250
Sr3 0.375 0.422 0.750
Sr4 0.875 0.828 0.750
Bi1 0.000 0.000 0.000
Bi2 0.750 0.250 0.500
Pt1 0.500 0.500 0.000
Pt2 0.250 0.750 0.500

Computed properties:
ΔH_f (0 K) ... -0.53 eV per atom
M_tot ... 0.00 μB/f.u.

***

No. 14
The following is a DFT calculation (PBE) of a relaxed structure of Sr2BiPt2.

a b c (Å): 7.795 7.795 4.388
angles (deg): 90.00 90.00 90.00
Atoms (fractional coordinates):
Sr1 0.175 0.675 0.500
Sr2 0.675 0.825 0.500
Sr3 0.825 0.325 0.500
Sr4 0.325 0.175 0.500
Bi1 0.000 0.000 0.000
Bi2 0.500 0.500 0.000
Pt1 0.376 0.876 0.000
Pt2 0.876 0.624 0.000
Pt3 0.624 0.124 0.000
Pt4 0.124 0.376 0.000

Computed properties:
ΔH_f (0 K) ... -0.72 eV per atom
M_tot ... 0.00 μB/f.u.

***

No. 15
The following is a DFT calculation (PBE) of a relaxed structure of SrBi3Pt8.

a b c (Å): 5.567 5.567 9.568
angles (deg): 73.09 73.09 60.00
Atoms (fractional coordinates):
Sr1 0.880 0.880 0.359
Bi1 0.357 0.357 0.930
Bi2 0.016 0.016 0.952
Bi3 0.489 0.489 0.534
Pt1 0.929 0.439 0.193
Pt2 0.445 0.939 0.676
Pt3 0.439 0.439 0.193
Pt4 0.939 0.939 0.676
Pt5 0.189 0.189 0.433
Pt6 0.689 0.689 0.934
Pt7 0.439 0.929 0.193
Pt8 0.939 0.445 0.676

Computed properties:
ΔH_f (0 K) ... -0.30 eV per atom
M_tot ... 0.00 μB/f.u.

***

No. 16
The following is a DFT calculation (PBE) of a relaxed structure of SrBiPt10.

a b c (Å): 4.454 5.450 9.372
angles (deg): 90.00 90.00 90.00
Atoms (fractional coordinates):
Sr1 0.000 0.500 0.500
Bi1 0.000 0.000 0.000
Pt1 0.000 0.000 0.325
Pt2 0.000 0.500 0.839
Pt3 0.000 0.500 0.161
Pt4 0.000 0.000 0.675
Pt5 0.500 0.000 0.500
Pt6 0.500 0.500 0.000
Pt7 0.500 0.251 0.250
Pt8 0.500 0.749 0.750
Pt9 0.500 0.749 0.250
Pt10 0.500 0.251 0.750

Computed properties:
ΔH_f (0 K) ... -0.29 eV per atom
M_tot ... 0.00 μB/f.u.

***

No. 17
The following is a DFT calculation (PBE) of a relaxed structure of SrBi3Pt.

a b c (Å): 5.546 5.546 5.546
angles (deg): 90.00 90.00 90.00
Atoms (fractional coordinates):
Sr1 0.500 0.500 0.500
Bi1 0.000 0.500 0.000
Bi2 0.000 0.000 0.500
Bi3 0.500 0.000 0.000
Pt1 0.000 0.000 0.000

Computed properties:
ΔH_f (0 K) ... -0.15 eV per atom
M_tot ... 0.00 μB/f.u.

***

No. 18
The following is a DFT calculation (PBE) of a relaxed structure of Sr2Bi3Pt.

a b c (Å): 4.552 4.891 9.117
angles (deg): 90.00 90.00 90.00
Atoms (fractional coordinates):
Sr1 0.000 0.500 0.045
Sr2 0.000 0.000 0.483
Bi1 0.500 0.000 0.838
Bi2 0.500 0.000 0.193
Bi3 0.500 0.500 0.620
Pt1 0.500 0.500 0.321

Computed properties:
ΔH_f (0 K) ... -0.59 eV per atom
M_tot ... 0.00 μB/f.u.

***

No. 19
The following is a DFT calculation (PBE) of a relaxed structure of SrBiPt2.

a b c (Å): 5.702 5.702 8.893
angles (deg): 71.30 71.30 90.00
Atoms (fractional coordinates):
Sr1 0.500 0.500 0.000
Sr2 0.250 0.750 0.500
Bi1 0.000 0.000 0.000
Bi2 0.750 0.250 0.500
Pt1 0.696 0.125 0.250
Pt2 0.054 0.625 0.250
Pt3 0.375 0.304 0.750
Pt4 0.875 0.946 0.750

Computed properties:
ΔH_f (0 K) ... -0.18 eV per atom
M_tot ... 0.00 μB/f.u.

***

No. 20
The following is a DFT calculation (PBE) of a relaxed structure of Sr3BiPt8.

a b c (Å): 5.581 5.581 9.557
angles (deg): 73.02 73.02 60.00
Atoms (fractional coordinates):
Sr1 0.376 0.376 0.873
Sr2 0.996 0.996 0.012
Sr3 0.503 0.503 0.492
Bi1 0.866 0.866 0.401
Pt1 0.937 0.439 0.185
Pt2 0.437 0.939 0.684
Pt3 0.439 0.439 0.185
Pt4 0.939 0.939 0.684
Pt5 0.190 0.190 0.431
Pt6 0.689 0.689 0.934
Pt7 0.439 0.937 0.185
Pt8 0.939 0.437 0.684

Computed properties:
ΔH_f (0 K) ... -0.69 eV per atom
M_tot ... 0.00 μB/f.u.